[1]
DFT (PBE) results for an optimized crystal structure of LiLa2Cu2O6.

Calculated values
N(E_F): 0.55 states/eV per atom
electronic total energy: -0.2293 hartree per atom
spin magnetization: 2.0 μB/cell
ΔE_f (raw): -1.721 eV per atom

The structure in POSCAR format:
```
LiLa2Cu2O6
1.0
-5.600 0.417 0.868
-2.394 -2.641 4.425
-1.874 3.596 4.781
O Cu La Li
6 2 2 1
Cartesian
-5.258 0.774 2.905
-3.492 -0.911 4.865
-6.577 -0.681 5.343
-6.377 2.282 5.210
-4.610 0.597 7.169
-3.292 2.052 4.732
-4.742 1.737 5.768
-5.126 -0.366 4.306
-7.494 0.521 7.203
-2.375 0.850 2.871
0.000 0.000 0.000
```


[2]
DFT (PBE) results for an optimized crystal structure of Ag2GeB.

Calculated values
N(E_F): 0.55 states/eV per atom
formation energy from the elements: 930 meV per atom
distance to the lowest polymorph of the same formula: 0.0668 eV per atom
electronic total energy: -0.1220 hartree per atom
spin magnetization: 0.0 μB/cell

The structure in POSCAR format:
```
Ag2GeB
1.0
0.000 3.167 3.167
3.167 0.000 3.167
3.167 3.167 0.000
Ge Ag B
1 2 1
Cartesian
3.167 3.167 3.167
1.584 1.584 1.584
4.751 4.751 4.751
0.000 0.000 0.000
```


[3]
DFT (PBE) results for an optimized crystal structure of Er6TeP2Se3.

Calculated values
N(E_F): 0.27 states/eV per atom
electronic total energy: -0.2194 hartree per atom
spin magnetization: 0.0 μB/cell
ΔE_f (raw): -1.655 eV per atom

The structure in POSCAR format:
```
Er6TeP2Se3
1.0
-0.028 2.898 2.819
-4.127 -4.956 5.054
8.483 -3.243 0.519
Se Te Er P
3 1 6 2
Cartesian
-2.077 -1.029 3.937
-0.728 -4.721 4.846
5.056 -0.580 3.547
-0.014 1.449 1.410
2.494 0.245 2.672
-0.924 -1.411 1.442
1.834 -5.546 5.720
0.558 -2.007 4.968
5.252 -3.890 6.951
3.770 -3.294 3.424
1.467 -2.280 2.358
2.861 -3.021 6.034
```


[4]
DFT (PBE) results for an optimized crystal structure of TaNb2Te6.

Calculated values
N(E_F): 0.79 states/eV per atom
distance to the lowest polymorph of the same formula: 0.2550 eV per atom
electronic total energy: -0.2131 hartree per atom
spin magnetization: 0.1 μB/cell
ΔE_f (raw): -0.149 eV per atom

The structure in POSCAR format:
```
TaNb2Te6
1.0
6.860 0.000 0.705
0.000 7.013 0.000
0.152 0.000 9.817
Nb Te Ta
4 12 2
Cartesian
3.098 1.087 2.717
3.914 5.925 7.804
6.604 2.419 7.978
0.408 4.594 2.544
1.284 2.487 4.352
4.790 1.019 9.613
2.406 3.583 7.661
2.471 5.749 4.280
1.252 0.076 7.416
1.035 2.243 0.981
4.605 3.430 2.861
5.760 6.937 3.105
5.977 4.770 9.541
5.728 4.525 6.170
2.222 5.994 0.909
4.541 1.263 6.241
3.430 3.506 0.353
0.076 0.000 4.908
```


[5]
DFT (PBE) results for an optimized crystal structure of ThGa2S6.

Calculated values
N(E_F): 0.81 states/eV per atom
electronic total energy: -0.1839 hartree per atom
spin magnetization: 0.0 μB/cell
ΔE_f (raw): -0.756 eV per atom

The structure in POSCAR format:
```
ThGa2S6
1.0
-4.904 -2.988 -3.432
1.763 -8.137 -0.236
-5.051 -3.606 5.555
Ga S Th
4 12 2
Cartesian
-3.926 -5.977 -1.240
-5.699 -10.926 0.546
-2.493 -3.805 1.341
-4.266 -8.754 3.128
-3.970 -4.090 -2.553
-2.368 -2.031 -0.114
-7.858 -6.347 0.089
-0.335 -8.384 1.799
-2.956 -7.095 3.991
-6.217 -7.597 2.998
-1.976 -7.134 -1.110
-5.825 -12.700 2.002
-4.290 -5.141 0.892
-4.222 -10.641 4.441
-5.236 -7.636 -2.104
-3.902 -9.590 0.995
-3.100 -9.590 -1.803
-5.093 -5.141 3.691
```


[6]
DFT (PBE) results for an optimized crystal structure of K2CoPCl.

Calculated values
N(E_F): 4.56 states/eV per atom
electronic total energy: -0.1030 hartree per atom
spin magnetization: 3.0 μB/cell
ΔE_f (raw): 0.510 eV per atom

The structure in POSCAR format:
```
K2CoPCl
1.0
-1.265 6.001 1.724
0.522 -1.216 4.616
6.205 1.403 -0.331
K P Co Cl
2 1 1 1
Cartesian
3.102 0.702 -0.166
-0.633 3.000 0.862
0.000 0.000 0.000
2.731 3.094 3.004
0.261 -0.608 2.308
```


[7]
DFT (PBE) results for an optimized crystal structure of KLiCdSe.

Calculated values
N(E_F): 0.17 states/eV per atom
electronic total energy: -0.0971 hartree per atom
spin magnetization: 0.0 μB/cell
ΔE_f (raw): -0.788 eV per atom

The structure in POSCAR format:
```
KLiCdSe
1.0
4.335 0.000 0.000
0.000 4.335 0.000
0.000 0.000 11.882
Se K Li Cd
2 2 2 2
Cartesian
3.252 3.252 10.420
1.084 1.084 1.462
1.084 1.084 9.264
3.252 3.252 2.617
1.084 3.252 0.000
3.252 1.084 0.000
3.252 1.084 5.941
1.084 3.252 5.941
```


[8]
DFT (PBE) results for an optimized crystal structure of SmTmPuIn.

Calculated values
N(E_F): 2.32 states/eV per atom
formation energy from the elements: -31 meV per atom
electronic total energy: -0.2424 hartree per atom
spin magnetization: 6.6 μB/cell

The structure in POSCAR format:
```
SmTmPuIn
1.0
-0.288 1.331 5.267
-1.894 -3.597 3.615
3.390 -2.304 3.578
Tm In Sm Pu
1 1 1 1
Cartesian
0.905 -3.427 9.345
0.302 -1.142 3.115
0.603 -2.285 6.230
0.000 0.000 0.000
```


[9]
DFT (PBE) results for an optimized crystal structure of NaMgCd3.

Calculated values
N(E_F): 0.23 states/eV per atom
formation energy from the elements: -38 meV per atom
distance to the lowest polymorph of the same formula: 0.0000 eV per atom
electronic total energy: -0.0430 hartree per atom
spin magnetization: 0.0 μB/cell

The structure in POSCAR format:
```
NaMgCd3
1.0
-2.982 4.296 1.375
-5.125 -4.041 1.508
3.862 0.657 6.322
Cd Mg Na
6 2 2
Cartesian
-1.097 1.997 7.331
0.000 0.000 0.000
0.180 3.624 5.017
-4.425 -2.712 4.189
-1.491 2.148 0.688
-3.148 -1.084 1.875
0.979 0.636 5.453
-5.224 0.277 3.753
-2.461 2.145 3.910
-1.784 -1.232 5.296
```


[10]
DFT (PBE) results for an optimized crystal structure of LiPtCl2.

Calculated values
N(E_F): 0.32 states/eV per atom
distance to the lowest polymorph of the same formula: 0.1613 eV per atom
electronic total energy: -0.1276 hartree per atom
spin magnetization: 0.0 μB/cell
ΔE_f (raw): -0.561 eV per atom

The structure in POSCAR format:
```
LiPtCl2
1.0
-2.313 -0.127 2.548
0.206 -3.438 0.016
5.690 0.365 5.184
Pt Li Cl
1 1 2
Cartesian
4.083 -1.453 5.962
2.116 0.136 1.928
1.042 -1.648 3.191
4.878 0.313 4.444
```


[11]
DFT (PBE) results for an optimized crystal structure of Ac12BiPb6.

Calculated values
N(E_F): 1.01 states/eV per atom
formation energy from the elements: -284 meV per atom
electronic total energy: -0.1564 hartree per atom
spin magnetization: 0.0 μB/cell

The structure in POSCAR format:
```
Ac12BiPb6
1.0
-8.756 0.037 4.227
2.506 -9.293 1.379
5.272 4.229 6.990
Pb Ac Bi
6 12 1
Cartesian
-4.050 -2.313 3.973
0.920 1.481 5.873
-1.899 -6.508 6.723
2.087 -4.522 3.568
3.071 -2.714 8.623
-3.066 -0.505 9.028
-1.285 -4.346 3.848
-3.282 -8.441 4.392
1.202 -5.072 7.065
-4.526 2.462 8.647
-7.183 -2.770 4.999
0.307 -0.681 8.748
2.329 -1.537 5.250
3.547 -7.489 3.949
-3.308 -3.489 7.346
6.205 -2.257 7.597
-2.180 0.046 5.531
2.304 3.414 8.204
0.000 0.000 0.000
```


[12]
DFT (PBE) results for an optimized crystal structure of CaSi2Au6.

Calculated values
N(E_F): 0.60 states/eV per atom
distance to the lowest polymorph of the same formula: 0.2570 eV per atom
electronic total energy: -0.1343 hartree per atom
spin magnetization: 0.0 μB/cell
ΔE_f (raw): -0.042 eV per atom

The structure in POSCAR format:
```
CaSi2Au6
1.0
8.356 0.000 0.000
4.178 7.236 0.000
4.178 2.412 6.822
Au Si Ca
12 4 2
Cartesian
6.134 3.542 0.108
4.178 0.153 0.108
2.221 1.282 3.303
6.134 1.282 3.303
8.356 7.389 5.225
10.577 3.542 5.225
4.178 4.671 3.303
8.356 2.259 1.597
10.577 6.107 1.597
2.221 3.542 0.108
6.134 6.107 1.597
6.134 3.542 5.225
4.178 2.412 4.264
2.089 1.206 0.853
4.178 4.824 0.853
6.267 1.206 0.853
12.533 7.236 5.117
8.356 4.824 3.411
```


[13]
DFT (PBE) results for an optimized crystal structure of PrAl4Rh.

Calculated values
N(E_F): 0.40 states/eV per atom
formation energy from the elements: -404 meV per atom
electronic total energy: -0.1808 hartree per atom
spin magnetization: 0.0 μB/cell

The structure in POSCAR format:
```
PrAl4Rh
1.0
7.098 -1.952 -4.207
6.073 -4.786 3.480
-8.404 -0.023 -1.129
Al Rh Pr
8 2 2
Cartesian
4.474 -2.046 -2.375
8.707 -4.212 -2.608
3.489 -4.178 -0.463
1.278 -2.584 -1.394
-2.955 -0.418 -1.160
7.722 -6.344 -0.697
-3.940 -2.550 0.752
0.293 -4.716 0.518
3.293 -1.685 -0.182
9.878 -5.054 -0.545
0.000 0.000 0.000
6.585 -3.369 -0.364
```


[14]
DFT (PBE) results for an optimized crystal structure of LiTb2NdAu4.

Calculated values
N(E_F): 0.53 states/eV per atom
formation energy from the elements: -743 meV per atom
electronic total energy: -0.1608 hartree per atom
spin magnetization: 0.0 μB/cell

The structure in POSCAR format:
```
LiTb2NdAu4
1.0
-0.352 3.365 -3.713
-0.354 -1.547 -4.766
-8.573 0.467 -2.163
Tb Au Nd Li
2 4 1 1
Cartesian
-6.712 1.718 -8.001
-2.567 0.567 -2.641
-5.532 0.518 -2.405
-1.790 1.190 -5.548
-7.489 1.095 -5.094
-3.747 1.767 -8.237
0.000 0.000 0.000
-4.639 1.142 -5.321
```


[15]
DFT (PBE) results for an optimized crystal structure of NiSbC3.

Calculated values
N(E_F): 0.59 states/eV per atom
distance to the lowest polymorph of the same formula: 0.0000 eV per atom
electronic total energy: -0.1938 hartree per atom
spin magnetization: 0.0 μB/cell
ΔE_f (raw): 2.241 eV per atom

The structure in POSCAR format:
```
NiSbC3
1.0
3.879 0.000 0.000
0.000 3.879 0.000
0.000 0.000 3.879
Sb C Ni
1 3 1
Cartesian
1.939 1.939 1.939
0.000 1.939 0.000
0.000 0.000 1.939
1.939 0.000 0.000
0.000 0.000 0.000
```


[16]
DFT (PBE) results for an optimized crystal structure of Dy6CoAu2.

Calculated values
N(E_F): 1.10 states/eV per atom
formation energy from the elements: -433 meV per atom
electronic total energy: -0.1844 hartree per atom
spin magnetization: 0.0 μB/cell

The structure in POSCAR format:
```
Dy6CoAu2
1.0
6.713 0.000 0.338
0.000 7.266 0.000
-0.325 0.000 9.874
Dy Au Co
12 4 2
Cartesian
2.046 5.931 4.458
5.777 7.116 2.762
5.312 5.010 5.789
1.076 2.256 4.422
5.240 4.967 9.564
1.148 2.298 0.648
0.611 0.150 7.450
4.343 1.334 5.754
2.258 3.782 7.530
2.118 5.888 0.684
4.271 1.377 9.528
4.130 3.483 2.682
0.233 4.404 2.494
6.156 2.862 7.718
2.962 0.771 2.612
3.427 6.495 7.600
-0.162 0.000 4.937
3.357 3.633 0.169
```


[17]
DFT (PBE) results for an optimized crystal structure of NiP7.

Calculated values
N(E_F): 0.64 states/eV per atom
formation energy from the elements: 746 meV per atom
electronic total energy: -0.1731 hartree per atom
spin magnetization: 0.0 μB/cell

The structure in POSCAR format:
```
NiP7
1.0
-4.600 -2.449 -1.466
-3.966 2.859 -2.325
-1.134 -0.714 -5.245
Ni P
1 7
Cartesian
0.000 0.000 0.000
-2.867 -1.581 -3.356
-1.983 1.429 -1.163
-4.283 0.205 -1.896
-2.550 1.072 -3.785
-2.300 -1.224 -0.733
-4.850 -0.152 -4.518
-0.567 -0.357 -2.623
```


[18]
DFT (PBE) results for an optimized crystal structure of Na2SrCoW.

Calculated values
N(E_F): 0.79 states/eV per atom
formation energy from the elements: 2183 meV per atom
electronic total energy: -0.0989 hartree per atom
spin magnetization: 5.1 μB/cell

The structure in POSCAR format:
```
Na2SrCoW
1.0
5.520 0.000 0.000
0.000 5.520 0.000
0.000 0.000 4.761
Sr Co W Na
1 1 1 2
Cartesian
0.000 0.000 0.000
0.000 0.000 2.380
2.760 2.760 2.380
2.760 0.000 0.000
0.000 2.760 0.000
```


[19]
DFT (PBE) results for an optimized crystal structure of Ca3NiSn.

Calculated values
N(E_F): 0.79 states/eV per atom
formation energy from the elements: -209 meV per atom
distance to the lowest polymorph of the same formula: 0.0000 eV per atom
electronic total energy: -0.1237 hartree per atom
spin magnetization: 0.0 μB/cell

The structure in POSCAR format:
```
Ca3NiSn
1.0
-0.615 -3.966 -3.467
-0.904 -3.359 4.003
-5.190 1.055 -0.287
Ni Ca Sn
1 3 1
Cartesian
0.000 0.000 0.000
-0.307 -1.983 -1.733
-2.595 0.528 -0.143
-0.452 -1.680 2.002
-3.354 -3.135 0.125
```


[20]
DFT (PBE) results for an optimized crystal structure of Ho2GaCo2.

Calculated values
N(E_F): 0.85 states/eV per atom
formation energy from the elements: -429 meV per atom
electronic total energy: -0.2098 hartree per atom
spin magnetization: 0.0 μB/cell

The structure in POSCAR format:
```
Ho2GaCo2
1.0
4.038 -0.002 -0.001
2.022 4.936 -0.003
2.022 1.969 4.527
Ho Ga Co
2 1 2
Cartesian
2.021 2.035 1.333
6.060 4.869 3.190
0.000 0.000 0.000
4.041 4.099 1.274
4.041 2.805 3.249
```


[21]
DFT (PBE) results for an optimized crystal structure of Ce2Pm3TmAs6.

Calculated values
N(E_F): 0.95 states/eV per atom
formation energy from the elements: -1490 meV per atom
electronic total energy: -0.2339 hartree per atom
spin magnetization: 1.2 μB/cell

The structure in POSCAR format:
```
Ce2Pm3TmAs6
1.0
4.203 0.000 0.000
0.000 8.400 0.295
-2.102 -2.424 8.826
Pm Tm As Ce
3 1 6 2
Cartesian
2.102 -0.226 5.934
0.000 6.203 3.188
2.102 4.200 0.148
2.102 0.000 0.000
0.000 6.061 6.204
0.000 2.038 0.083
2.102 3.939 9.038
0.000 1.909 5.988
2.102 -0.084 2.917
2.102 4.068 3.133
2.102 3.997 6.105
0.000 1.980 3.016
```


[22]
DFT (PBE) results for an optimized crystal structure of LiDyLuPb.

Calculated values
N(E_F): 0.97 states/eV per atom
formation energy from the elements: -219 meV per atom
electronic total energy: -0.1435 hartree per atom
spin magnetization: 0.0 μB/cell

The structure in POSCAR format:
```
LiDyLuPb
1.0
-1.126 3.411 -3.817
-2.151 -1.687 -4.472
-4.995 1.146 -1.101
Dy Li Pb Lu
1 1 1 1
Cartesian
-6.204 2.152 -7.043
0.000 0.000 0.000
-4.136 1.435 -4.695
-2.068 0.717 -2.348
```


[23]
DFT (PBE) results for an optimized crystal structure of Pu3PdPt4.

Calculated values
N(E_F): 4.30 states/eV per atom
formation energy from the elements: -592 meV per atom
electronic total energy: -0.3541 hartree per atom
spin magnetization: 15.4 μB/cell

The structure in POSCAR format:
```
Pu3PdPt4
1.0
-1.044 -3.426 1.514
6.325 -2.309 -0.863
-0.986 5.092 5.850
Pu Pt Pd
3 4 1
Cartesian
3.163 -1.154 -0.432
3.717 -1.421 4.344
0.578 0.777 2.158
-0.036 2.097 4.721
4.331 -2.740 1.780
1.821 -1.824 2.123
2.474 1.180 4.379
-0.522 -1.713 0.757
```